Entry 1:
DFT (PBE) results for an optimized crystal structure of In2SiIrSe.

Unit cell a=5.541 b=5.541 c=4.517 alpha=90.00 beta=90.00 gamma=90.00
Sites, in units of the cell vectors:
1 In 0.000 0.500 0.000
2 In 0.500 0.000 0.000
3 Si 0.000 0.000 0.500
4 Ir 0.500 0.500 0.500
5 Se 0.500 0.500 0.000

Results
V, A^3/atom: 27.73
Total DFT energy (no corrections), eV per atom: -3.6526
Formation energy from raw total energies, meV/atom: 997

Entry 2:
DFT (PBE) results for an optimized crystal structure of In2SnIrSe.

Unit cell a=5.181 b=5.181 c=5.090 alpha=90.00 beta=90.00 gamma=90.00
Sites, in units of the cell vectors:
1 In 0.000 0.500 0.000
2 In 0.500 0.000 0.000
3 Sn 0.000 0.000 0.500
4 Ir 0.000 0.000 0.000
5 Se 0.500 0.500 0.500

Results
V, A^3/atom: 27.32
Total DFT energy (no corrections), eV per atom: -4.5133
Formation energy from raw total energies, meV/atom: -148

Entry 3:
DFT (PBE) results for an optimized crystal structure of InTeIrSe2.

Unit cell a=4.853 b=4.853 c=5.435 alpha=90.00 beta=90.00 gamma=90.00
Sites, in units of the cell vectors:
1 In 0.000 0.000 0.000
2 Te 0.500 0.500 0.000
3 Ir 0.000 0.000 0.500
4 Se 0.000 0.500 0.500
5 Se 0.500 0.000 0.500

Results
Excess energy over the best structure of this formula in the dataset, meV per atom: 0
V, A^3/atom: 25.60
Total DFT energy (no corrections), eV per atom: -4.0639
Formation energy from raw total energies, meV/atom: 278

Entry 4:
DFT (PBE) results for an optimized crystal structure of In2SiIr.

Unit cell a=5.032 b=5.032 c=4.772 alpha=95.79 beta=95.79 gamma=38.20
Sites, in units of the cell vectors:
1 In 0.237 0.237 0.242
2 In 0.763 0.763 0.758
3 Si 0.000 0.000 0.500
4 Ir 0.500 0.500 0.000

Results
V, A^3/atom: 18.57
Total DFT energy (no corrections), eV per atom: -4.6331
Formation energy from raw total energies, meV/atom: 307

Entry 5:
DFT (PBE) results for an optimized crystal structure of InSiIr2.

Unit cell a=4.752 b=4.752 c=4.752 alpha=133.86 beta=122.04 gamma=77.09
Sites, in units of the cell vectors:
1 In 0.000 0.000 0.000
2 Si 0.500 0.500 0.000
3 Ir 0.293 0.793 0.500
4 Ir 0.707 0.207 0.500

Results
V, A^3/atom: 15.93
Total DFT energy (no corrections), eV per atom: -6.6285
Formation energy from raw total energies, meV/atom: -158

Entry 6:
DFT (PBE) results for an optimized crystal structure of InSi2Ir.

Unit cell a=5.346 b=5.346 c=3.877 alpha=111.05 beta=111.05 gamma=118.46
Sites, in units of the cell vectors:
1 In 0.000 0.000 0.000
2 Si 0.000 0.500 0.500
3 Si 0.500 0.000 0.500
4 Ir 0.500 0.500 0.000

Results
V, A^3/atom: 17.34
Total DFT energy (no corrections), eV per atom: -5.2479
Formation energy from raw total energies, meV/atom: 363

Entry 7:
DFT (PBE) results for an optimized crystal structure of InSiIr2.

Unit cell a=4.586 b=4.586 c=2.978 alpha=90.12 beta=90.12 gamma=99.56
Sites, in units of the cell vectors:
1 In 0.000 0.000 0.000
2 Si 0.500 0.500 0.000
3 Ir 0.000 0.500 0.500
4 Ir 0.500 0.000 0.500

Results
V, A^3/atom: 15.44
Total DFT energy (no corrections), eV per atom: -6.5236
Formation energy from raw total energies, meV/atom: -53

Entry 8:
DFT (PBE) results for an optimized crystal structure of InSi2Ir.

Unit cell a=4.485 b=4.485 c=6.376 alpha=108.57 beta=108.57 gamma=38.51
Sites, in units of the cell vectors:
1 In 0.000 0.000 0.000
2 Si 0.643 0.643 0.591
3 Si 0.799 0.799 0.248
4 Ir 0.359 0.359 0.578

Results
V, A^3/atom: 18.79
Total DFT energy (no corrections), eV per atom: -5.7158
Formation energy from raw total energies, meV/atom: -104

Entry 9:
DFT (PBE) results for an optimized crystal structure of In2SiIr.

Unit cell a=8.578 b=8.578 c=8.578 alpha=21.98 beta=21.98 gamma=21.98
Sites, in units of the cell vectors:
1 In 0.248 0.248 0.248
2 In 0.752 0.752 0.752
3 Si 0.000 0.000 0.000
4 Ir 0.500 0.500 0.500

Results
V, A^3/atom: 19.38
Total DFT energy (no corrections), eV per atom: -4.6091
Formation energy from raw total energies, meV/atom: 331

Entry 10:
DFT (PBE) results for an optimized crystal structure of In2SiIr.

Unit cell a=4.064 b=4.064 c=6.326 alpha=90.00 beta=90.00 gamma=120.00
Sites, in units of the cell vectors:
1 In 0.000 0.000 0.220
2 In 0.000 0.000 0.780
3 Si 0.667 0.333 0.500
4 Ir 0.333 0.667 0.500

Results
V, A^3/atom: 22.63
Total DFT energy (no corrections), eV per atom: -5.1733
Formation energy from raw total energies, meV/atom: -233

Entry 11:
DFT (PBE) results for an optimized crystal structure of InSi2Ir.

Unit cell a=4.975 b=4.975 c=4.975 alpha=138.66 beta=121.04 gamma=74.55
Sites, in units of the cell vectors:
1 In 0.000 0.000 0.000
2 Si 0.491 0.491 0.000
3 Si 0.724 0.224 0.500
4 Ir 0.287 0.787 0.500

Results
V, A^3/atom: 17.02
Total DFT energy (no corrections), eV per atom: -5.3637
Formation energy from raw total energies, meV/atom: 248

Entry 12:
DFT (PBE) results for an optimized crystal structure of In2SiIr.

Unit cell a=4.956 b=4.956 c=3.159 alpha=90.00 beta=90.00 gamma=109.71
Sites, in units of the cell vectors:
1 In 0.000 0.500 0.000
2 In 0.500 0.000 0.000
3 Si 0.000 0.000 0.500
4 Ir 0.500 0.500 0.500

Results
V, A^3/atom: 18.26
Total DFT energy (no corrections), eV per atom: -4.6513
Formation energy from raw total energies, meV/atom: 289

Copy entry 4 word for word.
DFT (PBE) results for an optimized crystal structure of In2SiIr.

Unit cell a=5.032 b=5.032 c=4.772 alpha=95.79 beta=95.79 gamma=38.20
Sites, in units of the cell vectors:
1 In 0.237 0.237 0.242
2 In 0.763 0.763 0.758
3 Si 0.000 0.000 0.500
4 Ir 0.500 0.500 0.000

Results
V, A^3/atom: 18.57
Total DFT energy (no corrections), eV per atom: -4.6331
Formation energy from raw total energies, meV/atom: 307

Question: Which of these has the highest total DFT energy (no corrections)?
Answer: In2SiIrSe